1.
Compound: V5Fe2TcRu2
Source: Alexandria via LeMat-Bulk
Functional: PBE
Structure: relaxed

## Properties
Formation enthalpy at 0 K   47.8 meV per atom

Structure (POSCAR):
```
V5Fe2TcRu2
1.0
3.091 0.000 0.000
0.000 9.298 0.000
0.000 0.000 9.298
V Fe Tc Ru
10 4 2 4
direct
0.500 0.931 0.200
0.500 0.431 0.300
0.500 0.200 0.069
0.500 0.800 0.931
0.500 0.700 0.431
0.500 0.500 0.000
0.500 0.069 0.800
0.500 0.300 0.569
0.500 0.569 0.700
0.500 0.000 0.500
0.000 0.372 0.128
0.000 0.128 0.628
0.000 0.872 0.372
0.000 0.628 0.872
0.000 0.000 0.000
0.000 0.500 0.500
0.000 0.830 0.670
0.000 0.670 0.170
0.000 0.330 0.830
0.000 0.170 0.330
```

2.
Compound: FeTcRuW
Source: Alexandria via LeMat-Bulk
Functional: PBE
Structure: relaxed

## Properties
Formation enthalpy at 0 K   77.7 meV per atom

Structure (POSCAR):
```
FeTcRuW
1.0
4.341 0.000 0.000
2.171 3.760 0.000
2.171 1.253 3.545
Ru Tc Fe W
1 1 1 1
direct
0.000 0.000 0.000
0.500 0.500 0.500
0.250 0.250 0.250
0.750 0.750 0.750
```

3.
Compound: ZnFeTcRu
Source: Alexandria via LeMat-Bulk
Functional: PBE
Structure: relaxed

## Properties
Formation enthalpy at 0 K   173.8 meV per atom

Structure (POSCAR):
```
ZnFeTcRu
1.0
-1.839 -3.776 0.738
1.643 -2.638 2.921
-2.074 -0.682 3.664
Zn Fe Ru Tc
1 1 1 1
direct
0.000 0.000 0.000
0.750 0.750 0.750
0.250 0.250 0.250
0.500 0.500 0.500
```

Result set for calculated total energy: -181.9 -40.7 -28.7 eV/cell, one per record in the order listed.